Record 1
Material: LaGdIr
Method: DFT, PBE-GGA
State: relaxed

Computed properties:
Space-group type   P3m1, No. 156
DOS at the Fermi energy   2.6 states/eV/f.u.
ΔE to the lowest computed polymorph   5 meV per atom
ΔE_f   -56.3 kJ per mole of atoms

Lattice parameters (Å, degrees): 6.4319 4.1910 4.1910 120.00 90.00 90.00
Closest atoms and distances in Å follow each position.
Fractional coordinates of all 3 atoms:
1 Ir 0.0054 0.0000 0.0000  3 Gd 2.80, 3 La 2.86
2 Gd 0.2249 0.3333 0.6667  3 Ir 2.80
3 La 0.7697 0.6667 0.3333  3 Ir 2.86

=====

Record 2
Material: LaGdIr2
Method: DFT, PBE-GGA
State: relaxed

Computed properties:
Space-group type   P4/mmm, No. 123
DOS at the Fermi energy   2.4 states/eV/f.u.
ΔE to the lowest computed polymorph   0 meV per atom
ΔE_f   -61.0 kJ per mole of atoms

Lattice parameters (Å, degrees): 3.4726 3.4726 7.2783 90.00 90.00 90.00
Closest atoms and distances in Å follow each position.
Fractional coordinates of all 4 atoms:
1 Ir 0.0000 0.0000 0.7639  4 Gd 3.00, 4 La 3.12
2 Ir 0.0000 0.0000 0.2361  4 Gd 3.00, 4 La 3.12
3 La 0.5000 0.5000 0.5000  8 Ir 3.12, 4 La 3.47
4 Gd 0.5000 0.5000 0.0000  8 Ir 3.00

=====

Record 3
Material: LaGdIrPd
Method: DFT, PBE-GGA
State: relaxed

Computed properties:
Space-group type   F-43m, No. 216
DOS at the Fermi energy   3.1 states/eV/f.u.
ΔE_f   -72.9 kJ per mole of atoms

Lattice parameters (Å, degrees): 5.0429 5.0429 5.0429 60.00 60.00 60.00
Closest atoms and distances in Å follow each position.
Fractional coordinates of all 4 atoms:
1 Gd 0.2500 0.2500 0.2500  4 Ir 3.09, 4 Pd 3.09
2 Pd 0.0000 0.0000 0.0000  4 La 3.09, 4 Gd 3.09
3 Ir 0.5000 0.5000 0.5000  4 Gd 3.09, 4 La 3.09
4 La 0.7500 0.7500 0.7500  4 Ir 3.09, 4 Pd 3.09

=====

Record 4
Material: LaGdIrRh
Method: DFT, PBE-GGA
State: relaxed

Computed properties:
Space-group type   F-43m, No. 216
DOS at the Fermi energy   2.4 states/eV/f.u.
ΔE_f   -66.8 kJ per mole of atoms

Lattice parameters (Å, degrees): 4.9922 4.9922 4.9922 60.00 60.00 60.00
Closest atoms and distances in Å follow each position.
Fractional coordinates of all 4 atoms:
1 Gd 0.7500 0.7500 0.7500  4 Ir 3.06, 4 Rh 3.06
2 Ir 0.0000 0.0000 0.0000  4 Gd 3.06, 4 La 3.06
3 La 0.2500 0.2500 0.2500  4 Ir 3.06, 4 Rh 3.06
4 Rh 0.5000 0.5000 0.5000  4 La 3.06, 4 Gd 3.06

=====

Record 5
Material: LaGdTlIr
Method: DFT, PBE-GGA
State: relaxed

Computed properties:
Space-group type   F-43m, No. 216
DOS at the Fermi energy   4.0 states/eV/f.u.
ΔE_f   -38.6 kJ per mole of atoms

Lattice parameters (Å, degrees): 5.2550 5.2550 5.2550 60.00 60.00 60.00
Closest atoms and distances in Å follow each position.
Fractional coordinates of all 4 atoms:
1 Ir 0.0000 0.0000 0.0000  4 La 3.22, 4 Gd 3.22
2 Gd 0.7500 0.7500 0.7500  4 Tl 3.22, 4 Ir 3.22
3 Tl 0.5000 0.5000 0.5000  4 Gd 3.22, 4 La 3.22
4 La 0.2500 0.2500 0.2500  4 Tl 3.22, 4 Ir 3.22

=====

Record 6
Material: LaGdZnIr
Method: DFT, PBE-GGA
State: relaxed

Computed properties:
Space-group type   F-43m, No. 216
DOS at the Fermi energy   2.1 states/eV/f.u.
ΔE_f   -50.3 kJ per mole of atoms

Lattice parameters (Å, degrees): 5.0844 5.0844 5.0844 60.00 60.00 60.00
Closest atoms and distances in Å follow each position.
Fractional coordinates of all 4 atoms:
1 La 0.2500 0.2500 0.2500  4 Ir 3.11, 4 Zn 3.11
2 Zn 0.0000 0.0000 0.0000  4 La 3.11, 4 Gd 3.11
3 Gd 0.7500 0.7500 0.7500  4 Ir 3.11, 4 Zn 3.11
4 Ir 0.5000 0.5000 0.5000  4 Gd 3.11, 4 La 3.11

=====

Copy entry 2 word for word.
Material: LaGdIr2
Method: DFT, PBE-GGA
State: relaxed

Computed properties:
Space-group type   P4/mmm, No. 123
DOS at the Fermi energy   2.4 states/eV/f.u.
ΔE to the lowest computed polymorph   0 meV per atom
ΔE_f   -61.0 kJ per mole of atoms

Lattice parameters (Å, degrees): 3.4726 3.4726 7.2783 90.00 90.00 90.00
Closest atoms and distances in Å follow each position.
Fractional coordinates of all 4 atoms:
1 Ir 0.0000 0.0000 0.7639  4 Gd 3.00, 4 La 3.12
2 Ir 0.0000 0.0000 0.2361  4 Gd 3.00, 4 La 3.12
3 La 0.5000 0.5000 0.5000  8 Ir 3.12, 4 La 3.47
4 Gd 0.5000 0.5000 0.0000  8 Ir 3.00

=====

The highest ΔE_f belongs to which entry? LaGdTlIr

=====

The highest DOS at the Fermi energy belongs to which entry? LaGdTlIr

=====

Look up the ΔE_f of the fourth one. -66.8 kJ per mole of atoms